# 1
Computed, not measured: a geometry-optimized TcSb2PdI structure at the PBE-GGA level of DFT.

Computed properties:
For the calculated density, the calculation gives 6.5 g/cm3. As for the uncorrected formation energy: 1.02 eV/atom. For the energy above the most stable polymorph in this dataset, the calculation gives 304 meV per atom. The value obtained for the density of states at the Fermi level is 3.22 states/eV per cell.

Cell and atoms, written as CIF:
```
data_TcSb2PdI
_symmetry_space_group_name_H-M 'P 1'
_symmetry_Int_Tables_number 1
_cell_length_a 5.201
_cell_length_b 5.201
_cell_length_c 5.453
_cell_angle_alpha 90.00
_cell_angle_beta 90.00
_cell_angle_gamma 90.00
loop_
_symmetry_equiv_pos_as_xyz
'x,y,z'
loop_
_atom_site_label
_atom_site_fract_x
_atom_site_fract_y
_atom_site_fract_z
I1 0.000 0.000 0.500
Sb1 0.000 0.500 0.000
Sb2 0.500 0.000 0.000
Tc1 0.500 0.500 0.500
Pd1 0.000 0.000 0.000
```


# 2
Computed, not measured: a geometry-optimized ReNi2B2 structure at the PBE-GGA level of DFT.

Computed properties:
For the calculated density, the calculation gives 11.4 g/cm3. As for the formation energy from the elements: -0.017 eV per atom. The value obtained for the density of states at the Fermi level is 3.77 states/eV per cell.

Cell and atoms, written as CIF:
```
data_ReNi2B2
_symmetry_space_group_name_H-M 'P 1'
_symmetry_Int_Tables_number 1
_cell_length_a 6.075
_cell_length_b 6.075
_cell_length_c 2.574
_cell_angle_alpha 90.00
_cell_angle_beta 90.00
_cell_angle_gamma 90.00
loop_
_symmetry_equiv_pos_as_xyz
'x,y,z'
loop_
_atom_site_label
_atom_site_fract_x
_atom_site_fract_y
_atom_site_fract_z
Re1 0.000 0.000 0.000
Re2 0.500 0.500 0.000
B1 0.353 0.853 0.000
B2 0.853 0.647 0.000
B3 0.647 0.147 0.000
B4 0.147 0.353 0.000
Ni1 0.148 0.648 0.500
Ni2 0.648 0.852 0.500
Ni3 0.852 0.352 0.500
Ni4 0.352 0.148 0.500
```


# 3
Computed, not measured: a geometry-optimized KLaTe structure at the PBE-GGA level of DFT.

Computed properties:
For the calculated density, the calculation gives 4.5 g/cm3. As for the uncorrected formation energy: -0.90 eV/atom. For the energy above the most stable polymorph in this dataset, the calculation gives 0 meV per atom. The value obtained for the density of states at the Fermi level is 5.80 states/eV per cell.

Cell and atoms, written as CIF:
```
data_KLaTe
_symmetry_space_group_name_H-M 'P 1'
_symmetry_Int_Tables_number 1
_cell_length_a 4.864
_cell_length_b 4.864
_cell_length_c 9.543
_cell_angle_alpha 90.00
_cell_angle_beta 90.00
_cell_angle_gamma 90.00
loop_
_symmetry_equiv_pos_as_xyz
'x,y,z'
loop_
_atom_site_label
_atom_site_fract_x
_atom_site_fract_y
_atom_site_fract_z
K1 0.000 0.500 0.864
K2 0.500 0.000 0.136
Te1 0.000 0.500 0.251
Te2 0.500 0.000 0.749
La1 0.500 0.500 0.500
La2 0.000 0.000 0.500
```


# 4
Computed, not measured: a geometry-optimized Dy9AlIn2 structure at the PBE-GGA level of DFT.

Computed properties:
For the calculated density, the calculation gives 8.5 g/cm3. As for the formation energy from the elements: -0.241 eV per atom. The value obtained for the density of states at the Fermi level is 18.28 states/eV per cell.

Cell and atoms, written as CIF:
```
data_Dy9AlIn2
_symmetry_space_group_name_H-M 'P 1'
_symmetry_Int_Tables_number 1
_cell_length_a 4.815
_cell_length_b 4.815
_cell_length_c 14.439
_cell_angle_alpha 90.00
_cell_angle_beta 90.00
_cell_angle_gamma 90.00
loop_
_symmetry_equiv_pos_as_xyz
'x,y,z'
loop_
_atom_site_label
_atom_site_fract_x
_atom_site_fract_y
_atom_site_fract_z
Dy1 0.500 0.500 0.000
Dy2 0.500 0.500 0.331
Dy3 0.500 0.500 0.669
Dy4 0.500 0.000 0.161
Dy5 0.500 0.000 0.500
Dy6 0.500 0.000 0.839
Dy7 0.000 0.500 0.161
Dy8 0.000 0.500 0.500
Dy9 0.000 0.500 0.839
Al1 0.000 0.000 0.000
In1 0.000 0.000 0.332
In2 0.000 0.000 0.668
```


# 5
Computed, not measured: a geometry-optimized ZrZn2 structure at the PBE-GGA level of DFT.

Computed properties:
For the calculated density, the calculation gives 6.8 g/cm3. As for the formation energy from the elements: -0.001 eV per atom. The value obtained for the density of states at the Fermi level is 1.27 states/eV per cell.

Cell and atoms, written as CIF:
```
data_ZrZn2
_symmetry_space_group_name_H-M 'P 1'
_symmetry_Int_Tables_number 1
_cell_length_a 2.961
_cell_length_b 2.961
_cell_length_c 7.146
_cell_angle_alpha 90.00
_cell_angle_beta 90.00
_cell_angle_gamma 120.00
loop_
_symmetry_equiv_pos_as_xyz
'x,y,z'
loop_
_atom_site_label
_atom_site_fract_x
_atom_site_fract_y
_atom_site_fract_z
Zn1 0.000 0.000 0.986
Zn2 0.333 0.667 0.681
Zr1 0.667 0.333 0.333
```


# 6
Computed, not measured: a geometry-optimized Pu4Si6Os7 structure at the PBE-GGA level of DFT.

Computed properties:
For the calculated density, the calculation gives 14.8 g/cm3. As for the uncorrected formation energy: -0.47 eV/atom. The value obtained for the density of states at the Fermi level is 27.74 states/eV per cell.

Cell and atoms, written as CIF:
```
data_Pu4Si6Os7
_symmetry_space_group_name_H-M 'P 1'
_symmetry_Int_Tables_number 1
_cell_length_a 7.123
_cell_length_b 7.123
_cell_length_c 7.123
_cell_angle_alpha 109.47
_cell_angle_beta 109.47
_cell_angle_gamma 109.47
loop_
_symmetry_equiv_pos_as_xyz
'x,y,z'
loop_
_atom_site_label
_atom_site_fract_x
_atom_site_fract_y
_atom_site_fract_z
Pu1 0.500 0.000 0.000
Pu2 0.500 0.500 0.500
Pu3 0.000 0.500 0.000
Pu4 0.000 0.000 0.500
Si1 0.689 0.000 0.689
Si2 0.689 0.689 0.000
Si3 0.000 0.311 0.311
Si4 0.311 0.000 0.311
Si5 0.311 0.311 0.000
Si6 0.000 0.689 0.689
Os1 0.750 0.500 0.250
Os2 0.250 0.750 0.500
Os3 0.500 0.750 0.250
Os4 0.750 0.250 0.500
Os5 0.250 0.500 0.750
Os6 0.500 0.250 0.750
Os7 0.000 0.000 0.000
```